MgTe2As after structural relaxation, computed with PBE.

It has space group R-3m (No. 166, hexagonal axes), with a = 3.8149 Å, b = 3.8149 Å, c = 27.9453 Å, α = 90.00°, β = 90.00° and γ = 120.00°. The asymmetric unit holds Mg at (0.0000, 0.0000, 0.0000), Te at (0.0000, 0.0000, 0.4010) and As at (0.0000, 0.0000, 0.5000).

The calculation puts the uncorrected formation energy at 54.2 meV per atom. The energy above the lowest structure with this stoichiometry comes out at 387 meV per atom.